# UReTcW PBE optimized geometry
data_UReTcW
_space_group_name_H-M_alt 'F -4 3 m'
_space_group_IT_number 216
_space_group_name_Hall 'F -4 2 3'
_cell_length_a 6.524
_cell_length_b 6.524
_cell_length_c 6.524
_cell_angle_alpha 90.00
_cell_angle_beta 90.00
_cell_angle_gamma 90.00
loop_
_atom_site_label
_atom_site_fract_x
_atom_site_fract_y
_atom_site_fract_z
U1 0.000 0.000 0.000
Re1 0.250 0.250 0.750
Tc1 0.250 0.250 0.250
W1 0.000 0.000 0.500
# Final energy = -11.555 eV/atom
# E_form = 0.21 eV per atom
# Volume = 69 Å³/f.u.